No. 1
! ZrFeN3 GGA-PBE optimized geometry; values from VASP
! * volume: 72 Å³ per cell
! * mass density: 4.3 g/cm3
! * raw formation energy: 1.118 eV per atom
! * E_tot: -7.279 eV per atom
&SYSTEM
  ibrav = 0, nat = 5, ntyp = 3
/
ATOMIC_SPECIES
Fe 55.84 Fe.upf
Zr 91.22 Zr.upf
N 14.01 N.upf
CELL_PARAMETERS angstrom
-3.9634 1.0018 0.8024
-1.0018 -4.0426 0.0987
0.8023 -0.0991 4.0869
ATOMIC_POSITIONS angstrom
Fe -2.0814 -1.5700 2.4940
Zr 0.0000 0.0000 0.0000
N -0.5009 -2.0213 0.0493
N 0.4012 -0.0495 2.0434
N -1.9817 0.5009 0.4012

=====

No. 2
! TlPb8 GGA-PBE optimized geometry; values from VASP
! * volume: 284 Å³ per cell
! * mass density: 10.9 g/cm3
! * E_tot: -3.559 eV per atom
&SYSTEM
  ibrav = 0, nat = 9, ntyp = 2
/
ATOMIC_SPECIES
Tl 204.38 Tl.upf
Pb 207.20 Pb.upf
CELL_PARAMETERS angstrom
-3.1400 1.4473 3.3870
-7.2801 -2.6159 -2.1731
-0.3892 -5.7807 5.5676
ATOMIC_POSITIONS angstrom
Tl 0.0000 0.0000 0.0000
Pb -1.1750 -1.4522 2.9895
Pb -2.3542 -2.8811 5.9652
Pb -6.9400 -0.7751 0.8139
Pb -4.9796 -3.6725 0.4112
Pb -6.1572 -5.1102 3.3920
Pb -4.6522 -1.8391 3.3895
Pb -2.6898 -4.7241 2.9833
Pb -3.4802 -0.3935 0.4000

=====

No. 3
! U3Ni6P5 GGA-PBE optimized geometry; values from VASP
! * volume: 405 Å³ per cell
! * mass density: 10.0 g/cm3
! * E_tot: -7.595 eV per atom
&SYSTEM
  ibrav = 0, nat = 28, ntyp = 3
/
ATOMIC_SPECIES
U 238.03 U.upf
Ni 58.69 Ni.upf
P 30.97 P.upf
CELL_PARAMETERS angstrom
-2.6091 1.0136 2.5488
-6.5917 -3.6073 -5.3132
1.2710 -10.2329 5.3705
ATOMIC_POSITIONS angstrom
U -0.8253 -7.6494 2.1972
U -6.0323 -3.8140 -1.8470
U -5.1645 -10.8004 1.8197
U -1.6851 -0.9222 -1.3583
U -5.5756 -7.2948 0.0047
U -1.2285 -4.4030 0.4934
Ni 1.0204 -8.5085 4.4282
Ni -7.0102 -9.9414 -0.4113
Ni -2.8690 -9.2529 3.5541
Ni -4.7111 -1.3574 -1.4715
Ni -2.5496 -6.8595 0.1179
Ni -3.1208 -9.1970 0.4628
Ni -3.5918 -5.4049 -1.5274
Ni -1.3819 0.4645 1.2120
Ni 0.1824 -1.7618 0.8873
Ni -3.6690 -2.8120 0.1738
Ni -5.8789 -8.6814 -2.5656
Ni -7.4432 -6.4552 -2.2409
P -2.2926 -10.7750 1.9381
P -4.7666 -9.9208 -0.9342
P -5.7017 -3.1202 -4.5958
P -3.6971 -7.6748 2.0788
P -1.5591 -5.0967 3.2422
P -3.2361 -3.1790 -2.0485
P -4.0247 -5.0379 0.6949
P -5.1965 -6.4599 -2.7506
P -1.2232 -8.5290 4.9511
P -2.0643 -1.7570 1.3970

=====

- What is the volume in the third record?
  405 Å³ per cell